# Be2SiAg | the Alexandria database | PBE-GGA | relaxed
data_Be2SiAg
_symmetry_space_group_name_H-M 'P 1'
_symmetry_Int_Tables_number 1
_cell_length_a 4.205
_cell_length_b 4.205
_cell_length_c 4.205
_cell_angle_alpha 60.00
_cell_angle_beta 60.00
_cell_angle_gamma 60.00
loop_
_symmetry_equiv_pos_as_xyz
'x,y,z'
loop_
_atom_site_label
_atom_site_type_symbol
_atom_site_fract_x
_atom_site_fract_y
_atom_site_fract_z
_atom_site_occupancy
Be1 Be 0.000 0.000 0.000 1
Be2 Be 0.250 0.250 0.250 1
Si1 Si 0.500 0.500 0.500 1
Ag1 Ag 0.750 0.750 0.750 1
# ΔE_f (raw) in eV/atom: 0.625
# Total magnetic moment in μB/cell: 0.00